1.
VASP calculation (PBE) on ScAg5Cl8 after structural relaxation.

Summary:
Symmetry: I-4 (82)
Raw formation energy in eV/atom: -0.85

abc: 7.9596 7.9596 7.9596
angles: 103.98 103.98 121.12
Closest atoms and distances in Å follow each position.
Element x y z (fractional)
1 Sc 0.0000 0.0000 0.0000  4 Cl 2.38
2 Ag 0.1949 0.1474 0.5489  4 Cl 2.59-2.86
3 Ag 0.2500 0.7500 0.5000  4 Cl 2.65
4 Ag 0.3540 0.8051 0.9525  4 Cl 2.59-2.86
5 Ag 0.5985 0.6460 0.4511  4 Cl 2.59-2.86
6 Ag 0.8526 0.4015 0.0475  4 Cl 2.59-2.86
7 Cl 0.2844 0.6195 0.1799  4 Ag 2.59-2.75
8 Cl 0.3513 0.1814 0.2528  1 Sc 2.38
9 Cl 0.3805 0.5604 0.6649  4 Ag 2.59-2.75
10 Cl 0.4396 0.1045 0.8201  4 Ag 2.59-2.75
11 Cl 0.8186 0.0714 0.1699  1 Sc 2.38
12 Cl 0.8955 0.7156 0.3351  4 Ag 2.59-2.75
13 Cl 0.9015 0.6487 0.8301  1 Sc 2.38
14 Cl 0.9286 0.0985 0.7472  1 Sc 2.38

***

2.
VASP calculation (PBE) on TlCu2Ru after structural relaxation.

Summary:
ΔE to the lowest computed polymorph in eV per atom: 0.080
Symmetry: Cm (8)

abc: 4.8543 4.8543 4.1665
angles: 115.14 115.14 44.47
Closest atoms and distances in Å follow each position.
Element x y z (fractional)
1 Tl 0.0000 0.0000 0.0000  8 Cu 2.73-2.87, 4 Ru 2.79-2.82
2 Cu 0.2464 0.2464 0.7467  2 Cu 2.59, 4 Tl 2.73-2.87, 4 Ru 2.78
3 Cu 0.5174 0.5174 0.5181  2 Cu 2.59, 4 Ru 2.74-2.87, 4 Tl 2.78
4 Ru 0.7626 0.7626 0.2640  8 Cu 2.74-2.87, 4 Tl 2.79-2.82

***

3.
VASP calculation (PBE) on Y2TcSnIr after structural relaxation.

Summary:
Electronic total energy in eV/cell: -35.87
Symmetry: P4/mmm (123)

abc: 5.3779 5.3779 4.6851
angles: 90.00 90.00 90.00
Closest atoms and distances in Å follow each position.
Element x y z (fractional)
1 Y 0.0000 0.5000 0.0000  2 Ir 2.69
2 Y 0.5000 0.0000 0.0000  2 Ir 2.69
3 Tc 0.0000 0.0000 0.5000  2 Ir 2.34
4 Sn 0.5000 0.5000 0.5000  8 Y 3.57, 4 Tc 3.80
5 Ir 0.0000 0.0000 0.0000  2 Tc 2.34

***

4.
VASP calculation (PBE) on LiFe2Mo after structural relaxation.

Summary:
ΔE to the lowest computed polymorph in eV per atom: 0.110
Symmetry: I-4m2 (119)

abc: 4.6665 4.6665 4.6665
angles: 135.69 135.69 64.46
Closest atoms and distances in Å follow each position.
Element x y z (fractional)
1 Li 0.0000 0.0000 0.0000  8 Fe 2.49-2.64, 4 Mo 2.64
2 Fe 0.5000 0.5000 0.0000  4 Li 2.49, 4 Fe 2.64, 4 Mo 2.64
3 Fe 0.7500 0.2500 0.5000  4 Mo 2.49, 4 Fe 2.64, 4 Li 2.64
4 Mo 0.2500 0.7500 0.5000  8 Fe 2.49-2.64, 4 Li 2.64